Compound: Tm6SbP2S3
Source: Alexandria
Functional: PBE-GGA
Structure: optimized geometry

The space group is C2/m (No. 12) and the conventional cell measures 17.2770, 3.9646 and 7.9594 Å, with angles of 90.00, 102.75 and 90.00 degrees. The inequivalent atoms are Tm at (0.0042, 0.0000, 0.2718), Tm at (0.1701, 0.5000, 0.5784), Tm at (0.1744, 0.5000, 0.0994), Sb at (0.0000, 0.5000, 0.0000), P at (0.1677, 0.0000, 0.3360), S at (0.0000, 0.5000, 0.5000) and S at (0.1644, 0.0000, 0.8328).

The density of states at the Fermi level comes out at 7.5 states/eV per cell. The total energy is -148.74 eV per cell. The value obtained for the raw formation energy is -20.22 eV/f.u.